1.
Material: KAgSe2
Method: DFT, PBE
State: optimized geometry

Results
**Density of states at the Fermi level**: 0.117 states/eV per atom
**E_form (uncorrected)**: -0.454 eV/atom
**ρ**: 4.14 g cm⁻³

The structure in CIF format:
```
data_KAgSe2
_chemical_formula_sum 'K2 Ag2 Se4'
_symmetry_space_group_name_H-M 'C m m m'
_symmetry_Int_Tables_number 65
_symmetry_space_group_name_Hall '-C 2 2'
_cell_length_a 5.708
_cell_length_b 8.759
_cell_length_c 4.888
_cell_angle_alpha 90.00
_cell_angle_beta 90.00
_cell_angle_gamma 90.00
loop_
_atom_site_label
_atom_site_fract_x
_atom_site_fract_y
_atom_site_fract_z
K1 0.000 0.000 0.000
Ag1 0.000 0.500 0.500
Se1 0.250 0.250 0.500
```

---

2.
Material: K2AgSe4
Method: DFT, PBE
State: optimized geometry

Results
**Density of states at the Fermi level**: 0.686 states/eV per atom
**E_form (uncorrected)**: -0.537 eV/atom
**ρ**: 3.70 g cm⁻³

The structure in CIF format:
```
data_K2AgSe4
_chemical_formula_sum 'K8 Ag4 Se16'
_symmetry_space_group_name_H-M 'I b a m'
_symmetry_Int_Tables_number 72
_symmetry_space_group_name_Hall '-I 2 2c'
_cell_length_a 10.579
_cell_length_b 13.008
_cell_length_c 6.555
_cell_angle_alpha 90.00
_cell_angle_beta 90.00
_cell_angle_gamma 90.00
loop_
_atom_site_label
_atom_site_fract_x
_atom_site_fract_y
_atom_site_fract_z
K1 0.208 0.123 0.000
Ag1 0.000 0.500 0.250
Se1 0.121 0.371 0.000
Se2 0.154 0.132 0.500
```

---

3.
Material: KAgSe2
Method: DFT, PBE
State: optimized geometry

Results
**Density of states at the Fermi level**: 1.251 states/eV per atom
**E_form (uncorrected)**: 0.084 eV/atom
**ρ**: 5.14 g cm⁻³

The structure in CIF format:
```
data_KAgSe2
_chemical_formula_sum 'K4 Ag4 Se8'
_symmetry_space_group_name_H-M 'F -4 3 m'
_symmetry_Int_Tables_number 216
_symmetry_space_group_name_Hall 'F -4 2 3'
_cell_length_a 7.329
_cell_length_b 7.329
_cell_length_c 7.329
_cell_angle_alpha 90.00
_cell_angle_beta 90.00
_cell_angle_gamma 90.00
loop_
_atom_site_label
_atom_site_fract_x
_atom_site_fract_y
_atom_site_fract_z
K1 0.000 0.000 0.000
Ag1 0.250 0.250 0.250
Se1 0.000 0.000 0.500
Se2 0.250 0.250 0.750
```

---

4.
Material: KAgSe2
Method: DFT, PBE
State: optimized geometry

Results
**Density of states at the Fermi level**: 0.870 states/eV per atom
**E_form (uncorrected)**: -0.196 eV/atom
**ρ**: 4.41 g cm⁻³

The structure in CIF format:
```
data_KAgSe2
_chemical_formula_sum 'K1 Ag1 Se2'
_symmetry_space_group_name_H-M 'P 4 m m'
_symmetry_Int_Tables_number 99
_cell_length_a 3.607
_cell_length_b 3.607
_cell_length_c 8.823
_cell_angle_alpha 90.00
_cell_angle_beta 90.00
_cell_angle_gamma 90.00
loop_
_symmetry_equiv_pos_as_xyz
'x,y,z'
'-y,x,z'
'-x,-y,z'
'y,-x,z'
'-x,y,z'
'y,x,z'
'x,-y,z'
'-y,-x,z'
loop_
_atom_site_label
_atom_site_fract_x
_atom_site_fract_y
_atom_site_fract_z
K1 0.000 0.000 0.000
Ag1 0.500 0.500 0.534
Se1 0.000 0.000 0.635
Se2 0.500 0.500 0.229
```

---

5.
Material: KAg5Se4
Method: DFT, PBE
State: optimized geometry

Results
**Density of states at the Fermi level**: 0.234 states/eV per atom
**E_form (uncorrected)**: -0.194 eV/atom
**ρ**: 5.44 g cm⁻³

The structure in CIF format:
```
data_KAg5Se4
_chemical_formula_sum 'K2 Ag10 Se8'
_symmetry_space_group_name_H-M 'C 1 2/m 1'
_symmetry_Int_Tables_number 12
_cell_length_a 19.047
_cell_length_b 4.275
_cell_length_c 6.982
_cell_angle_alpha 90.00
_cell_angle_beta 106.33
_cell_angle_gamma 90.00
loop_
_symmetry_equiv_pos_as_xyz
'x,y,z'
'-x,-y,-z'
'-x,y,-z'
'x,-y,z'
'x+1/2,y+1/2,z'
'-x+1/2,-y+1/2,-z'
'-x+1/2,y+1/2,-z'
'x+1/2,-y+1/2,z'
loop_
_atom_site_label
_atom_site_fract_x
_atom_site_fract_y
_atom_site_fract_z
K1 0.000 0.000 0.000
Ag1 0.000 0.000 0.500
Ag2 0.197 0.500 0.518
Ag3 0.243 0.000 0.862
Se1 0.057 0.500 0.381
Se2 0.182 0.000 0.190
```

---

6.
Material: KAg3Se3
Method: DFT, PBE
State: optimized geometry

Results
**Density of states at the Fermi level**: 0.830 states/eV per atom
**E_form (uncorrected)**: -0.275 eV/atom
**ρ**: 4.92 g cm⁻³
**Energy above the most stable polymorph in this dataset**: 0.000 eV per atom

The structure in CIF format:
```
data_KAg3Se3
_chemical_formula_sum 'K2 Ag6 Se6'
_symmetry_space_group_name_H-M 'P m -3 n'
_symmetry_Int_Tables_number 223
_symmetry_space_group_name_Hall '-P 4n 2 3'
_cell_length_a 7.396
_cell_length_b 7.396
_cell_length_c 7.396
_cell_angle_alpha 90.00
_cell_angle_beta 90.00
_cell_angle_gamma 90.00
loop_
_atom_site_label
_atom_site_fract_x
_atom_site_fract_y
_atom_site_fract_z
K1 0.000 0.000 0.000
Ag1 0.000 0.250 0.500
Se1 0.000 0.500 0.250
```